No. 1
Compound: Pm3TaTl3Se8
Source: the Alexandria database
Functional: PBE-GGA
Structure: relaxed

```
Pm3TaTl3Se8
1.0
8.2613 0.0000 0.0000
-4.1307 7.1535 -0.0303
0.0000 -4.7382 7.9455
Pm Se Ta Tl
3 8 1 3
Direct
0.0000 0.5000 0.5000
0.5000 0.0000 0.5000
0.5000 0.5000 0.5000
0.2163 0.4326 0.6975
0.2620 0.5241 0.2863
0.7837 0.5674 0.3025
0.2348 0.0186 0.3026
0.2162 0.9814 0.6974
0.7838 0.0186 0.3026
0.7380 0.4759 0.7137
0.7652 0.9814 0.6974
0.0000 0.0000 0.5000
0.0000 0.0000 0.0000
0.0000 0.5000 0.0000
0.5000 0.5000 0.0000
```

## Properties
**Crystal system**: trigonal
**DOS(E_F)**: 0.304 states/eV per atom
**Final energy**: -5.27 eV per atom
**Formation energy from raw total energies**: -1.20 eV/atom
**M_tot**: 0.045 μB/atom

***

No. 2
Compound: Na3SrGe
Source: the Alexandria database
Functional: PBE-GGA
Structure: relaxed

```
Na3SrGe
1.0
5.6839 0.0000 0.0000
0.0000 5.6839 0.0000
0.0000 0.0000 5.6839
Na Sr Ge
3 1 1
Direct
0.5000 0.0000 0.0000
0.0000 0.0000 0.5000
0.0000 0.5000 0.0000
0.5000 0.5000 0.5000
0.0000 0.0000 0.0000
```

## Properties
**Crystal system**: cubic
**DOS(E_F)**: 0.480 states/eV per atom
**E_form**: 0.09 eV per atom
**Final energy**: -1.96 eV per atom
**E above lowest polymorph**: 0 meV per atom
**M_tot**: 0.000 μB/atom

***

No. 3
Compound: EuDyLu2
Source: the Alexandria database
Functional: PBE-GGA
Structure: relaxed

```
EuDyLu2
1.0
-3.7265 -1.2335 -0.0698
1.3965 -4.4089 3.3547
-1.1324 3.1594 4.6237
Lu Dy Eu
2 1 1
Direct
0.0000 0.0000 0.5000
0.0000 0.5000 0.0000
0.5000 0.5000 0.5000
0.5000 0.0000 0.0000
```

## Properties
**Crystal system**: tetragonal
**DOS(E_F)**: 1.700 states/eV per atom
**E_form**: 0.15 eV per atom
**Final energy**: -5.83 eV per atom
**E above lowest polymorph**: 77 meV per atom
**M_tot**: 1.796 μB/atom

***

No. 4
Compound: UTiNb2
Source: the Alexandria database
Functional: PBE-GGA
Structure: relaxed

```
UTiNb2
1.0
-2.1146 1.5925 1.2085
-0.5108 -0.1888 2.8586
5.9277 8.1917 3.0814
Nb Ti U
2 1 1
Direct
0.7556 0.7556 0.7332
0.2444 0.2444 0.2668
0.5000 0.5000 0.5000
0.0000 0.0000 0.0000
```

## Properties
**Crystal system**: trigonal
**DOS(E_F)**: 2.223 states/eV per atom
**E_form**: 0.26 eV per atom
**Final energy**: -9.57 eV per atom
**E above lowest polymorph**: 195 meV per atom
**M_tot**: 0.001 μB/atom

***

No. 5
Compound: Sr4In2Ag
Source: the Alexandria database
Functional: PBE-GGA
Structure: relaxed

```
Sr4In2Ag
1.0
-6.7710 -0.4486 -1.6180
3.1987 3.6310 -5.0249
2.5285 -6.4756 0.5823
Sr In Ag
4 2 1
Direct
0.5000 0.0000 0.0000
0.0000 0.0000 0.5000
0.0000 0.5000 0.0000
0.5000 0.5000 0.5000
0.5000 0.5000 0.0000
0.5000 0.0000 0.5000
0.0000 0.0000 0.0000
```

## Properties
**Crystal system**: tetragonal
**DOS(E_F)**: 1.022 states/eV per atom
**E_form**: -0.28 eV per atom
**Final energy**: -2.43 eV per atom
**M_tot**: 0.000 μB/atom

***

No. 6
Compound: Ba5Sc
Source: the Alexandria database
Functional: PBE-GGA
Structure: relaxed

```
Ba5Sc
1.0
4.4004 0.0000 0.0000
0.0000 4.4004 0.0000
0.0000 0.0000 16.9659
Ba Sc
5 1
Direct
0.0000 0.0000 0.5000
0.5000 0.5000 0.3069
0.0000 0.0000 0.8764
0.5000 0.5000 0.6931
0.0000 0.0000 0.1236
0.5000 0.5000 0.0000
```

## Properties
**Crystal system**: tetragonal
**DOS(E_F)**: 1.735 states/eV per atom
**E_form**: 0.16 eV per atom
**Final energy**: -2.50 eV per atom
**E above lowest polymorph**: 0 meV per atom
**M_tot**: 0.000 μB/atom

***

No. 7
Compound: TaO2
Source: the Alexandria database
Functional: PBE-GGA
Structure: relaxed

```
TaO2
1.0
6.0217 0.0000 0.0000
3.0109 9.7764 0.0000
3.0109 0.0000 9.7764
Ta O
16 32
Direct
0.0232 0.2412 0.0124
0.2173 0.5072 0.7569
0.7355 0.9876 0.2412
0.7241 0.7431 0.0072
0.4813 0.4928 0.2431
0.2756 0.2431 0.5072
0.0145 0.5124 0.2588
0.4731 0.7412 0.5124
0.4744 0.2569 0.9928
0.2687 0.0072 0.2569
0.2769 0.7588 0.9876
0.5327 0.9928 0.7431
0.9643 0.0124 0.7588
0.0259 0.7569 0.4928
0.7268 0.2588 0.4876
0.7857 0.4876 0.7412
0.6185 0.1365 0.3880
0.6482 0.8507 0.6014
0.7564 0.1120 0.6365
0.7644 0.8897 0.8638
0.3459 0.1362 0.8897
0.9856 0.6103 0.6362
0.7580 0.4008 0.3462
0.3782 0.6362 0.3897
0.7504 0.6014 0.1493
0.5050 0.5992 0.6538
0.9088 0.8462 0.0992
0.1429 0.8635 0.6120
0.2321 0.3897 0.3638
0.5179 0.1103 0.1362
0.3718 0.8638 0.1103
0.9996 0.8986 0.3507
0.9936 0.3880 0.8635
0.8542 0.1538 0.9008
0.5050 0.8880 0.3635
0.1003 0.1493 0.3986
0.5011 0.3986 0.8507
0.9920 0.0992 0.1538
0.2450 0.9008 0.8462
0.4041 0.3638 0.6103
0.8412 0.6538 0.4008
0.1315 0.3635 0.1120
0.6497 0.3507 0.1014
0.2450 0.6120 0.1365
0.2489 0.1014 0.6493
0.1018 0.6493 0.8986
0.8958 0.3462 0.5992
0.6071 0.6365 0.8880
```

## Properties
**Crystal system**: tetragonal
**Final energy**: -9.85 eV per atom
**Formation energy from raw total energies**: -2.59 eV/atom
**M_tot**: 0.000 μB/atom